Entry 1:
The following is a PBE calculation of a relaxed Sc3Tl2S6 crystal, from Alexandria.

Calculated values
- E_form (uncorrected): -1.392 eV per atom
- ρ: 4.54 g/cm3
- DOS(E_F): 0.34 states/eV/atom

```
Sc3Tl2S6
1.0
3.273 -5.665 0.000
3.273 5.665 0.000
-2.183 0.000 7.261
Sc Tl S
3 2 6
Direct
0.000 0.000 0.000
0.333 0.667 0.000
0.667 0.333 0.000
0.167 0.833 0.500
0.833 0.167 0.500
0.062 0.398 0.194
0.267 0.267 0.809
0.398 0.062 0.194
0.602 0.938 0.806
0.733 0.733 0.191
0.938 0.602 0.806
```



Entry 2:
The following is a PBE calculation of a relaxed Tm2Sc3Sn4 crystal, from Alexandria.

Calculated values
- ρ: 7.03 g/cm3
- Energy of formation: -717.0 meV/atom
- DOS(E_F): 0.62 states/eV/atom

```
Tm2Sc3Sn4
1.0
7.938 0.000 0.000
0.000 7.886 0.000
-2.746 0.000 7.148
Tm Sc Sn
4 6 8
Direct
0.191 0.178 0.055
0.191 0.322 0.555
0.809 0.678 0.445
0.809 0.822 0.945
0.248 0.664 0.239
0.248 0.836 0.739
0.500 0.000 0.500
0.500 0.500 0.000
0.752 0.164 0.261
0.752 0.336 0.761
0.085 0.541 0.836
0.085 0.959 0.336
0.490 0.138 0.860
0.490 0.362 0.360
0.510 0.638 0.640
0.510 0.862 0.140
0.915 0.041 0.664
0.915 0.459 0.164
```



Entry 3:
The following is a PBE calculation of a relaxed CaSmInBr6 crystal, from Alexandria.

Calculated values
- E_form (uncorrected): -1.670 eV per atom
- ρ: 3.72 g/cm3
- DOS(E_F): 0.00 states/eV/atom

```
CaSmInBr6
1.0
7.514 0.000 0.000
-3.757 6.507 0.000
0.000 0.000 14.309
Ca Sm In Br
2 2 2 12
Direct
0.333 0.667 0.250
0.667 0.333 0.750
0.333 0.667 0.750
0.667 0.333 0.250
0.000 0.000 0.000
0.000 0.000 0.500
0.004 0.369 0.635
0.004 0.635 0.865
0.365 0.369 0.865
0.365 0.996 0.635
0.369 0.004 0.135
0.369 0.365 0.365
0.631 0.635 0.635
0.631 0.996 0.865
0.635 0.004 0.365
0.635 0.631 0.135
0.996 0.365 0.135
0.996 0.631 0.365
```



Entry 4:
The following is a PBE calculation of a relaxed MnInBrCl2 crystal, from Alexandria.

Calculated values
- E_form (uncorrected): -0.853 eV per atom
- Offset from the most stable computed form: 0.030 eV/atom
- ρ: 3.90 g/cm3

```
MnInBrCl2
1.0
5.003 0.000 0.000
0.000 5.003 0.000
0.000 0.000 5.453
Mn In Br Cl
1 1 1 2
Direct
0.000 0.000 0.000
0.500 0.500 0.500
0.000 0.000 0.500
0.000 0.500 0.000
0.500 0.000 0.000
```



Entry 5:
The following is a PBE calculation of a relaxed TlTeNO2 crystal, from Alexandria.

Calculated values
- E_form (uncorrected): 0.937 eV per atom
- ρ: 8.06 g/cm3
- DOS(E_F): 0.64 states/eV/atom

```
TlTeNO2
1.0
4.227 0.000 0.000
0.000 4.227 0.000
0.000 0.000 4.358
Tl Te N O
1 1 1 2
Direct
0.000 0.000 0.000
0.500 0.500 0.500
0.000 0.000 0.500
0.000 0.500 0.000
0.500 0.000 0.000
```



Entry 6:
The following is a PBE calculation of a relaxed NbTcHRu2 crystal, from Alexandria.

Calculated values
- Offset from the most stable computed form: 0.862 eV/atom
- ρ: 8.99 g/cm3
- DOS(E_F): 0.95 states/eV/atom

```
NbTcHRu2
1.0
4.790 0.000 0.000
0.000 4.790 0.000
0.000 0.000 3.172
Nb Tc H Ru
1 1 1 2
Direct
0.000 0.000 0.000
0.500 0.500 0.500
0.500 0.500 0.000
0.000 0.500 0.500
0.500 0.000 0.500
```